Compound: CaPmZnRh
Source: the Alexandria database
Functional: PBE
Structure: relaxed

Calculated values
Space-group type: F-43m, No. 216
Density of states at the Fermi level (states/eV/f.u.): 4.3
Calculated total energy (eV per atom): -4.247
V (Å³/cell): 90
M_tot (μB per atom): 0.000

a = 5.0271 Å, b = 5.0271 Å, c = 5.0271 Å
α = 60.00°, β = 60.00°, γ = 60.00°
Last column: nearest neighbours and their distance in Å.
Fractional coordinates of all 4 atoms:
Ca 0.0000 0.0000 0.0000  4 Zn 3.08, 4 Rh 3.08
Pm 0.5000 0.5000 0.5000  4 Zn 3.08, 4 Rh 3.08
Zn 0.7500 0.7500 0.7500  4 Ca 3.08, 4 Pm 3.08
Rh 0.2500 0.2500 0.2500  4 Pm 3.08, 4 Ca 3.08